[1]
Below is crystalline Zr2SiCl at its relaxed geometry, with properties calculated at the PBE level.

a = 3.2384 Å, b = 3.2384 Å, c = 7.5222 Å
α = 90.00°, β = 90.00°, γ = 101.40°
Fractional positions:
Cl1 0.5000 0.5000 0.2500
Si1 0.5000 0.5000 0.7500
Zr1 0.0000 0.0000 0.9720
Zr2 0.0000 0.0000 0.5280

Values from the calculation:
Formation energy from raw total energies = -0.5764 eV/atom
Uncorrected energy = -0.490 Ry/atom
Crystal system = orthorhombic
DOS at the Fermi energy = 2.60 states/eV/f.u.



[2]
Below is crystalline ZrSiCl at its relaxed geometry, with properties calculated at the PBE level.

a = 4.3822 Å, b = 4.3822 Å, c = 4.3822 Å
α = 60.00°, β = 60.00°, γ = 60.00°
Fractional positions:
Cl1 0.7500 0.7500 0.7500
Si1 0.0000 0.0000 0.0000
Zr1 0.5000 0.5000 0.5000

Values from the calculation:
Formation energy from raw total energies = 0.2124 eV/atom
Uncorrected energy = -0.372 Ry/atom
Crystal system = cubic
DOS at the Fermi energy = 1.77 states/eV/f.u.